Record 1
Sb2IrCl: PBEsol geometry, SCAN.

Output
The calculation puts the density of states at the Fermi level at 2.21 states/eV/f.u. The formation energy from raw total energies is -117 meV per atom. Its total energy is -308.13 eV/cell. The energy above the most stable polymorph in this dataset is 0 meV/atom. The calculation puts the calculated volume at 22.467 A^3/atom.

CIF file:
```
data_Sb2IrCl
_symmetry_space_group_name_H-M 'I m m 2'
_symmetry_Int_Tables_number 44
_cell_length_a 3.122
_cell_length_b 3.621
_cell_length_c 15.899
_cell_angle_alpha 90.00
_cell_angle_beta 90.00
_cell_angle_gamma 90.00
loop_
_symmetry_equiv_pos_as_xyz
'x,y,z'
'-x,-y,z'
'-x,y,z'
'x,-y,z'
'x+1/2,y+1/2,z+1/2'
'-x+1/2,-y+1/2,z+1/2'
'-x+1/2,y+1/2,z+1/2'
'x+1/2,-y+1/2,z+1/2'
loop_
_atom_site_label
_atom_site_fract_x
_atom_site_fract_y
_atom_site_fract_z
Sb1 0.000 0.000 0.000
Sb2 0.000 0.500 0.295
Ir1 0.000 0.000 0.416
Cl1 0.000 0.500 0.647
```



Record 2
SbIr2Cl: PBEsol geometry, SCAN.

Output
The calculation puts the density of states at the Fermi level at 1.88 states/eV/f.u. The formation energy from raw total energies is 601 meV per atom. Its total energy is -740.14 eV/cell. The energy above the most stable polymorph in this dataset is 0 meV/atom. The calculation puts the calculated volume at 19.806 A^3/atom.

CIF file:
```
data_SbIr2Cl
_symmetry_space_group_name_H-M 'I -4 2 d'
_symmetry_Int_Tables_number 122
_symmetry_space_group_name_Hall 'I -4 2bw'
_cell_length_a 4.764
_cell_length_b 4.764
_cell_length_c 13.963
_cell_angle_alpha 90.00
_cell_angle_beta 90.00
_cell_angle_gamma 90.00
loop_
_atom_site_label
_atom_site_fract_x
_atom_site_fract_y
_atom_site_fract_z
Sb1 0.000 0.000 0.000
Ir1 0.156 0.250 0.625
Cl1 0.000 0.000 0.500
```



Record 3
SbTe2IrCl: PBEsol geometry, SCAN.

Output
The calculation puts the density of states at the Fermi level at 6.13 states/eV/f.u. The formation energy from raw total energies is 390 meV per atom. Its total energy is -188.89 eV/cell. The calculation puts the calculated volume at 27.951 A^3/atom.

CIF file:
```
data_SbTe2IrCl
_symmetry_space_group_name_H-M 'P 4/m m m'
_symmetry_Int_Tables_number 123
_symmetry_space_group_name_Hall '-P 4 2'
_cell_length_a 5.215
_cell_length_b 5.215
_cell_length_c 5.139
_cell_angle_alpha 90.00
_cell_angle_beta 90.00
_cell_angle_gamma 90.00
loop_
_atom_site_label
_atom_site_fract_x
_atom_site_fract_y
_atom_site_fract_z
Sb1 0.000 0.000 0.000
Te1 0.000 0.500 0.500
Ir1 0.000 0.000 0.500
Cl1 0.500 0.500 0.000
```



Record 4
Sc2IrCl: PBEsol geometry, SCAN.

Output
The calculation puts the density of states at the Fermi level at 2.43 states/eV/f.u. The formation energy from raw total energies is -374 meV per atom. Its total energy is -327.14 eV/cell. The energy above the most stable polymorph in this dataset is 888 meV/atom. The calculation puts the calculated volume at 17.720 A^3/atom.

CIF file:
```
data_Sc2IrCl
_symmetry_space_group_name_H-M 'R -3 m'
_symmetry_Int_Tables_number 166
_symmetry_space_group_name_Hall '-R 3 2"'
_cell_length_a 3.0134
_cell_length_b 3.0134
_cell_length_c 27.0404
_cell_angle_alpha 90.00
_cell_angle_beta 90.00
_cell_angle_gamma 120.00
loop_
_atom_site_label
_atom_site_fract_x
_atom_site_fract_y
_atom_site_fract_z
Sc1 0.0000 0.0000 0.0900
Ir1 0.0000 0.0000 0.0000
Cl1 0.0000 0.0000 0.5000
```



Record 5
ScIr2Cl: PBEsol geometry, SCAN.

Output
The calculation puts the density of states at the Fermi level at 4.99 states/eV/f.u. The formation energy from raw total energies is 101 meV per atom. Its total energy is -656.03 eV/cell. The energy above the most stable polymorph in this dataset is 585 meV/atom. The calculation puts the calculated volume at 15.891 A^3/atom.

CIF file:
```
data_ScIr2Cl
_symmetry_space_group_name_H-M 'F -4 3 m'
_symmetry_Int_Tables_number 216
_symmetry_space_group_name_Hall 'F -4 2 3'
_cell_length_a 6.335
_cell_length_b 6.335
_cell_length_c 6.335
_cell_angle_alpha 90.00
_cell_angle_beta 90.00
_cell_angle_gamma 90.00
loop_
_atom_site_label
_atom_site_fract_x
_atom_site_fract_y
_atom_site_fract_z
Sc1 0.000 0.000 0.000
Ir1 0.000 0.000 0.500
Ir2 0.250 0.250 0.250
Cl1 0.250 0.250 0.750
```



Record 6
Sc2IrCl: PBEsol geometry, SCAN.

Output
The calculation puts the density of states at the Fermi level at 2.12 states/eV/f.u. The formation energy from raw total energies is -694 meV per atom. Its total energy is -220.66 eV/cell. The energy above the most stable polymorph in this dataset is 567 meV/atom. The calculation puts the calculated volume at 17.713 A^3/atom.

CIF file:
```
data_Sc2IrCl
_symmetry_space_group_name_H-M 'I -4 m 2'
_symmetry_Int_Tables_number 119
_symmetry_space_group_name_Hall 'I -4 -2'
_cell_length_a 3.666
_cell_length_b 3.666
_cell_length_c 10.544
_cell_angle_alpha 90.00
_cell_angle_beta 90.00
_cell_angle_gamma 90.00
loop_
_atom_site_label
_atom_site_fract_x
_atom_site_fract_y
_atom_site_fract_z
Sc1 0.000 0.000 0.000
Sc2 0.000 0.500 0.250
Ir1 0.000 0.500 0.750
Cl1 0.000 0.000 0.500
```



- calculated volume of number 6 (Sc2IrCl)?
  17.713 A^3/atom



- Number 2 is which compound?
  SbIr2Cl



- total energy of number 5 (ScIr2Cl)?
  -656.03 eV/cell